Cs3Ce2PbSe6 (PBE, optimized geometry); SG = C2/m (12); total DFT energy (no corrections) = -4.69 eV per atom
1.0
-7.392 -1.087 -1.862
5.334 -5.041 -2.333
-0.425 -2.363 8.361
Cs Ce Pb Se
3 2 1 6
direct
0.160 0.840 0.500 Cs
0.840 0.160 0.500 Cs
0.500 0.500 0.500 Cs
0.333 0.667 0.000 Ce
0.667 0.333 0.000 Ce
0.000 0.000 0.000 Pb
0.937 0.584 0.810 Se
0.710 0.710 0.187 Se
0.063 0.416 0.190 Se
0.584 0.937 0.810 Se
0.290 0.290 0.813 Se
0.416 0.063 0.190 Se

=====

Ca2ErCd (PBE, optimized geometry); formation enthalpy at 0 K = -0.008 eV/atom; E above lowest polymorph = 0.036 eV per atom; SG = R3m (160)
1.0
3.737 0.000 0.000
1.868 3.236 0.000
1.868 1.079 10.980
Ca Er Cd
2 1 1
direct
0.076 0.076 0.773 Ca
0.257 0.257 0.228 Ca
0.501 0.501 0.498 Er
0.666 0.666 0.001 Cd

=====

ZrIn3Rh (PBE, optimized geometry); formation enthalpy at 0 K = 0.241 eV/atom; E above lowest polymorph = 0.000 eV per atom; SG = Pm-3m (221)
1.0
5.007 0.000 0.000
0.000 5.007 0.000
0.000 0.000 5.007
Rh Zr In
1 1 3
direct
0.000 0.000 0.000 Rh
0.500 0.500 0.500 Zr
0.000 0.500 0.000 In
0.000 0.000 0.500 In
0.500 0.000 0.000 In

=====

CaZnGe3 (PBE, optimized geometry); formation enthalpy at 0 K = 0.165 eV/atom; SG = Pm-3m (221)
1.0
-3.744 3.071 0.904
-1.314 -0.205 -4.744
-2.920 -3.847 0.975
Ge Ca Zn
3 1 1
direct
0.000 0.500 0.000 Ge
0.000 0.000 0.500 Ge
0.500 0.000 0.000 Ge
0.500 0.500 0.500 Ca
0.000 0.000 0.000 Zn

=====

TbPmZnCd (PBE, optimized geometry); formation enthalpy at 0 K = -0.301 eV/atom; E above lowest polymorph = 0.026 eV per atom; SG = F-43m (216)
1.0
-0.651 -5.211 -0.239
0.014 -2.856 4.414
-4.460 -2.174 1.739
Zn Cd Tb Pm
1 1 1 1
direct
0.250 0.250 0.250 Zn
0.750 0.750 0.750 Cd
0.000 0.000 0.000 Tb
0.500 0.500 0.500 Pm

=====

PmTmGeOs (PBE, optimized geometry); formation enthalpy at 0 K = -0.296 eV/atom; SG = F-43m (216)
1.0
-4.303 -0.985 -2.283
-3.633 -2.345 2.449
-4.119 2.463 1.291
Ge Tm Os Pm
1 1 1 1
direct
0.250 0.250 0.250 Ge
0.000 0.000 0.000 Tm
0.750 0.750 0.750 Os
0.500 0.500 0.500 Pm